PBE NaCa3Mg, relaxed; E_form = 0.28 eV/atom; total moment = 0.0 Bohr magnetons per cell; Fermi-level density of states = 5.89 states/eV per cell; VASP energy = -1.503 eV/atom
1.0
-3.416 4.627 2.185
-0.074 -2.672 5.542
5.117 3.051 1.539
Na Ca Mg
1 3 1
Cartesian
0.814 2.503 4.633
-0.037 -1.336 2.771
2.558 1.525 0.769
-1.708 2.314 1.093
0.000 0.000 0.000